1.
Entry from the Alexandria database: a relaxed structure of Co2IrOs (GGA-PBEsol).

Cell: 3.611 3.611 7.419 Å, 90.00 90.00 90.00°
Space group I-4m2 (No. 119)
Inequivalent atoms, fractional coordinates:
Co 0.000 0.000 0.000 (multiplicity 2)
Co 0.000 0.500 0.250 (multiplicity 2)
Ir 0.000 0.000 0.500 (multiplicity 2)
Os 0.000 0.500 0.750 (multiplicity 2)

Values from the calculation:
- DOS(E_F): 4.6 states/eV/f.u.
- Distance to the lowest polymorph of the same formula: 0.00 eV/f.u.
- Total magnetization: 3.07 Bohr magnetons per cell
- Formation energy from the elements: 0.0445 eV/atom


2.
Entry from the Alexandria database: a relaxed structure of Co2IrOs (GGA-PBEsol).

Cell: 3.687 3.687 3.558 Å, 90.00 90.00 90.00°
Space group P4/mmm (No. 123)
Inequivalent atoms, fractional coordinates:
Co 0.000 0.500 0.000 (multiplicity 2)
Ir 0.000 0.000 0.500 (multiplicity 1)
Os 0.500 0.500 0.500 (multiplicity 1)

Values from the calculation:
- DOS(E_F): 4.7 states/eV/f.u.
- Distance to the lowest polymorph of the same formula: 0.25 eV/f.u.
- Total magnetization: 1.60 Bohr magnetons per cell
- Formation energy from the elements: 0.1071 eV/atom


3.
Entry from the Alexandria database: a relaxed structure of Co2IrOs (GGA-PBEsol).

Cell: 2.681 4.462 8.570 Å, 90.00 90.00 90.00°
Space group Immm (No. 71)
Inequivalent atoms, fractional coordinates:
Co 0.000 0.000 0.248 (multiplicity 4)
Ir 0.000 0.500 0.000 (multiplicity 2)
Os 0.000 0.500 0.500 (multiplicity 2)

Values from the calculation:
- DOS(E_F): 7.4 states/eV/f.u.
- Distance to the lowest polymorph of the same formula: 1.45 eV/f.u.
- Total magnetization: 7.97 Bohr magnetons per cell
- Formation energy from the elements: 0.4069 eV/atom


4.
Entry from the Alexandria database: a relaxed structure of Co2IrOs (GGA-PBEsol).

Cell: 8.399 2.620 4.548 Å, 90.00 100.24 90.00°
Space group C2/m (No. 12)
Inequivalent atoms, fractional coordinates:
Co 0.250 0.000 0.241 (multiplicity 4)
Ir 0.000 0.000 0.500 (multiplicity 2)
Os 0.000 0.500 0.000 (multiplicity 2)

Values from the calculation:
- DOS(E_F): 4.9 states/eV/f.u.
- Distance to the lowest polymorph of the same formula: 0.26 eV/f.u.
- Total magnetization: 3.96 Bohr magnetons per cell
- Formation energy from the elements: 0.1100 eV/atom


5.
Entry from the Alexandria database: a relaxed structure of Co2IrOs (GGA-PBEsol).

Cell: 8.587 2.617 4.395 Å, 90.00 100.40 90.00°
Space group Cm (No. 8)
Inequivalent atoms, fractional coordinates:
Co 0.000 0.000 0.000 (multiplicity 2)
Co 0.247 0.500 0.236 (multiplicity 2)
Ir 0.249 0.000 0.745 (multiplicity 2)
Os 0.496 0.000 0.483 (multiplicity 2)

Values from the calculation:
- DOS(E_F): 4.5 states/eV/f.u.
- Distance to the lowest polymorph of the same formula: 0.09 eV/f.u.
- Total magnetization: 3.24 Bohr magnetons per cell
- Formation energy from the elements: 0.0681 eV/atom


6.
Entry from the Alexandria database: a relaxed structure of Co2IrOs (GGA-PBEsol).

Cell: 2.629 3.642 5.093 Å, 90.00 90.00 90.00°
Space group Pmm2 (No. 25)
Inequivalent atoms, fractional coordinates:
Co 0.000 0.000 0.000 (multiplicity 1)
Co 0.500 0.500 0.230 (multiplicity 1)
Ir 0.000 0.000 0.487 (multiplicity 1)
Os 0.500 0.500 0.754 (multiplicity 1)

Values from the calculation:
- DOS(E_F): 4.5 states/eV/f.u.
- Distance to the lowest polymorph of the same formula: 0.11 eV/f.u.
- Total magnetization: 1.67 Bohr magnetons per cell
- Formation energy from the elements: 0.0722 eV/atom


7.
Entry from the Alexandria database: a relaxed structure of Co2IrOs (GGA-PBEsol).

Cell: 2.649 2.649 6.993 Å, 90.00 90.00 90.00°
Space group P4mm (No. 99)
Inequivalent atoms, fractional coordinates:
Co 0.000 0.000 0.000 (multiplicity 1)
Co 0.500 0.500 0.222 (multiplicity 1)
Ir 0.000 0.000 0.478 (multiplicity 1)
Os 0.500 0.500 0.751 (multiplicity 1)

Values from the calculation:
- DOS(E_F): 4.3 states/eV/f.u.
- Distance to the lowest polymorph of the same formula: 0.24 eV/f.u.
- Total magnetization: 2.85 Bohr magnetons per cell
- Formation energy from the elements: 0.1042 eV/atom


8.
Entry from the Alexandria database: a relaxed structure of Co2IrOs (GGA-PBEsol).

Cell: 2.693 4.441 8.541 Å, 90.00 90.00 90.00°
Space group Cmmm (No. 65)
Inequivalent atoms, fractional coordinates:
Co 0.000 0.000 0.248 (multiplicity 4)
Ir 0.000 0.500 0.500 (multiplicity 2)
Os 0.000 0.500 0.000 (multiplicity 2)

Values from the calculation:
- DOS(E_F): 6.5 states/eV/f.u.
- Distance to the lowest polymorph of the same formula: 1.39 eV/f.u.
- Total magnetization: 7.38 Bohr magnetons per cell
- Formation energy from the elements: 0.3932 eV/atom


9.
Entry from the Alexandria database: a relaxed structure of Co2IrOsPb (GGA-PBEsol).

Cell: 4.550 4.550 4.712 Å, 90.00 90.00 90.00°
Space group P4/mmm (No. 123)
Inequivalent atoms, fractional coordinates:
Co 0.000 0.500 0.000 (multiplicity 2)
Ir 0.000 0.000 0.000 (multiplicity 1)
Os 0.000 0.000 0.500 (multiplicity 1)
Pb 0.500 0.500 0.500 (multiplicity 1)

Values from the calculation:
- DOS(E_F): 7.8 states/eV/f.u.
- Total magnetization: 4.54 Bohr magnetons per cell
- Formation energy from the elements: 1.4968 eV/atom


10.
Entry from the Alexandria database: a relaxed structure of Co2PIr (GGA-PBEsol).

Cell: 5.690 5.690 5.690 Å, 90.00 90.00 90.00°
Space group F-43m (No. 216)
Inequivalent atoms, fractional coordinates:
Co 0.000 0.000 0.000 (multiplicity 4)
Co 0.250 0.250 0.250 (multiplicity 4)
P 0.250 0.250 0.750 (multiplicity 4)
Ir 0.000 0.000 0.500 (multiplicity 4)

Values from the calculation:
- DOS(E_F): 6.6 states/eV/f.u.
- Total magnetization: 10.90 Bohr magnetons per cell
- Formation energy from the elements: 0.0160 eV/atom


11.
Entry from the Alexandria database: a relaxed structure of Co2PIr (GGA-PBEsol).

Cell: 2.731 4.587 7.824 Å, 90.00 90.00 90.00°
Space group Cmm2 (No. 35)
Inequivalent atoms, fractional coordinates:
Co 0.000 0.000 0.000 (multiplicity 2)
Co 0.000 0.500 0.252 (multiplicity 2)
P 0.000 0.500 0.783 (multiplicity 2)
Ir 0.000 0.000 0.531 (multiplicity 2)

Values from the calculation:
- DOS(E_F): 5.0 states/eV/f.u.
- Total magnetization: 5.73 Bohr magnetons per cell
- Formation energy from the elements: 0.2650 eV/atom


12.
Entry from the Alexandria database: a relaxed structure of CoP2Ir (GGA-PBEsol).

Cell: 5.029 5.029 10.215 Å, 90.00 90.00 90.00°
Space group I-42d (No. 122)
Inequivalent atoms, fractional coordinates:
Co 0.000 0.000 0.000 (multiplicity 4)
P 0.228 0.250 0.125 (multiplicity 8)
Ir 0.000 0.000 0.500 (multiplicity 4)

Values from the calculation:
- DOS(E_F): 2.6 states/eV/f.u.
- Distance to the lowest polymorph of the same formula: 0.00 eV/f.u.
- Total magnetization: 0.00 Bohr magnetons per cell
- Formation energy from the elements: -0.2620 eV/atom


13.
Entry from the Alexandria database: a relaxed structure of Co2PIr (GGA-PBEsol).

Cell: 3.474 2.710 9.875 Å, 90.00 90.00 90.00°
Space group Amm2 (No. 38)
Inequivalent atoms, fractional coordinates:
Co 0.000 0.000 0.000 (multiplicity 2)
Co 0.500 0.000 0.364 (multiplicity 2)
P 0.500 0.000 0.579 (multiplicity 2)
Ir 0.000 0.000 0.736 (multiplicity 2)

Values from the calculation:
- DOS(E_F): 3.1 states/eV/f.u.
- Total magnetization: 3.77 Bohr magnetons per cell
- Formation energy from the elements: -0.2345 eV/atom


14.
Entry from the Alexandria database: a relaxed structure of Co2PIr (GGA-PBEsol).

Cell: 2.6933 2.6933 22.6109 Å, 90.00 90.00 120.00°
Space group R3m (No. 160, hexagonal axes)
Inequivalent atoms, fractional coordinates:
Co 0.0000 0.0000 0.0000 (multiplicity 3)
Co 0.0000 0.0000 0.2484 (multiplicity 3)
P 0.0000 0.0000 0.7381 (multiplicity 3)
Ir 0.0000 0.0000 0.4887 (multiplicity 3)

Values from the calculation:
- DOS(E_F): 3.9 states/eV/f.u.
- Total magnetization: 8.08 Bohr magnetons per cell
- Formation energy from the elements: -0.0198 eV/atom


15.
Entry from the Alexandria database: a relaxed structure of CoPIr (GGA-PBEsol).

Cell: 3.8028 3.8028 2.9106 Å, 90.00 90.00 120.00°
Space group P3m1 (No. 156)
Inequivalent atoms, fractional coordinates:
Co 0.0000 0.0000 0.0000 (multiplicity 1)
P 0.3333 0.6667 0.8049 (multiplicity 1)
Ir 0.6667 0.3333 0.5153 (multiplicity 1)

Values from the calculation:
- DOS(E_F): 3.0 states/eV/f.u.
- Total magnetization: 0.42 Bohr magnetons per cell
- Formation energy from the elements: -0.2017 eV/atom